(1)
This record from Alexandria describes crystalline CeAlAg2 at its relaxed geometry. The functional is GGA-PBE.

The structure in extended XYZ format:
```
8
Lattice="4.6098 0.0000 0.0000 -2.3049 5.2841 0.0000 0.0000 0.0000 7.0770" Properties=species:S:1:pos:R:3 pbc="T T T"
Ce 2.3049 2.6509 3.5385
Ce 2.3049 0.8144 0.0000
Al 0.0000 3.1147 5.7250
Al 0.0000 3.1147 1.3520
Ag 0.0000 0.5329 4.9444
Ag 0.0000 0.5329 2.1325
Ag 2.3049 3.8241 0.0000
Ag 0.0000 4.7415 3.5385
```

Summary:
The calculated formation energy comes out at -0.21 eV per atom. As for the space-group type: Amm2 (38). The density of states at the Fermi level is 15.24 states/eV per cell. The value obtained for the energy above the most stable polymorph in this dataset is 0 meV per atom. As for the volume: 21.548 A^3/atom.

(2)
This record from Alexandria describes crystalline HfPaAs2 at its relaxed geometry. The functional is GGA-PBE.

The structure in extended XYZ format:
```
4
Lattice="4.0073 0.0000 0.0000 2.0036 3.4704 0.0000 2.0036 1.1568 6.3116" Properties=species:S:1:pos:R:3 pbc="T T T"
As 6.0109 3.4704 4.8506
As 2.0037 1.1568 1.4610
Pa 4.0073 2.3136 3.1558
Hf 0.0000 0.0000 0.0000
```

Summary:
The calculated formation energy comes out at -1.02 eV per atom. As for the space-group type: R-3m (166). The density of states at the Fermi level is 3.67 states/eV per cell. The value obtained for the energy above the most stable polymorph in this dataset is 0 meV per atom. As for the volume: 21.944 A^3/atom.

(3)
This record from Alexandria describes crystalline LaNdAgSb at its relaxed geometry. The functional is GGA-PBE.

The structure in extended XYZ format:
```
4
Lattice="-4.5995 2.8375 -0.5468 -3.9293 -0.4526 3.7231 -1.0523 4.1401 3.3553" Properties=species:S:1:pos:R:3 pbc="T T T"
Sb -7.1859 4.8937 4.8986
Nd 0.0000 0.0000 0.0000
Ag -2.3953 1.6312 1.6329
La -4.7906 3.2625 3.2658
```

Summary:
For the electronic total energy, the calculation gives -4.803 eV/atom. As for the space-group type: F-43m (216). The density of states at the Fermi level is 3.47 states/eV per cell. As for the volume: 28.333 A^3/atom.

(4)
This record from Alexandria describes crystalline La2PaSb3Ir4 at its relaxed geometry. The functional is GGA-PBE.

The structure in extended XYZ format:
```
10
Lattice="4.4737 0.0000 0.0000 0.0000 4.4737 0.0000 0.0000 0.0000 11.4400" Properties=species:S:1:pos:R:3 pbc="T T T"
La 2.2369 0.0000 2.5625
La 0.0000 2.2369 8.8775
Pa 2.2369 2.2369 5.7200
Sb 0.0000 0.0000 5.7200
Sb 2.2369 0.0000 9.9329
Sb 0.0000 2.2369 1.5071
Ir 2.2369 2.2369 0.0000
Ir 0.0000 0.0000 0.0000
Ir 2.2369 0.0000 7.3087
Ir 0.0000 2.2369 4.1313
```

Summary:
For the electronic total energy, the calculation gives -7.415 eV/atom. As for the space-group type: P-4m2 (115). The density of states at the Fermi level is 8.00 states/eV per cell. As for the volume: 22.896 A^3/atom.

(5)
This record from Alexandria describes crystalline K2MnSi at its relaxed geometry. The functional is GGA-PBE.

The structure in extended XYZ format:
```
4
Lattice="4.3404 0.0000 0.0000 0.0000 4.3394 0.0000 0.0000 0.0000 5.5863" Properties=species:S:1:pos:R:3 pbc="T T T"
K 0.0000 0.0000 0.0000
K 2.1702 2.1697 0.0000
Mn 2.1702 0.0000 2.7932
Si 0.0000 2.1697 2.7932
```

Summary:
As for the space-group type: P4/mmm (123). The density of states at the Fermi level is 2.85 states/eV per cell. The value obtained for the energy above the most stable polymorph in this dataset is 493 meV per atom. As for the volume: 26.304 A^3/atom.

(6)
This record from Alexandria describes crystalline CsAg2Sb4 at its relaxed geometry. The functional is GGA-PBE.

The structure in extended XYZ format:
```
7
Lattice="6.8456 0.0023 3.3812 3.4257 5.7508 1.6857 0.8785 -0.0045 6.8467" Properties=species:S:1:pos:R:3 pbc="T T T"
Cs 3.4228 0.0012 1.6906
Sb 6.2185 1.4324 4.6702
Sb 8.3572 1.4313 8.9454
Sb 2.7927 4.3172 2.9682
Sb 4.9314 4.3162 7.2434
Ag 3.8616 2.8685 5.1048
Ag 7.2883 2.8800 6.8088
```

Summary:
For the electronic total energy, the calculation gives -3.372 eV/atom. As for the space-group type: C2/m (12). The density of states at the Fermi level is 2.83 states/eV per cell. As for the volume: 36.058 A^3/atom.

(7)
This record from Alexandria describes crystalline FeCo2 at its relaxed geometry. The functional is GGA-PBE.

The structure in extended XYZ format:
```
9
Lattice="2.8420 2.7175 -5.6573 -4.5794 -5.1165 -0.5631 -1.8179 1.6409 -0.1251" Properties=species:S:1:pos:R:3 pbc="T T T"
Fe -0.9090 0.8204 -0.0625
Fe -2.1056 -2.5051 -2.2611
Fe 0.3682 0.1062 -3.9592
Co -1.4199 -1.5864 -0.1746
Co -3.8543 -2.4702 -0.4247
Co 0.8812 0.8426 -1.7541
Co -1.1987 -1.6552 -4.2917
Co 0.9189 2.5682 -3.7010
Co -1.5290 -0.0356 -2.2822
```

Summary:
The calculated formation energy comes out at 0.08 eV per atom. As for the space-group type: P-62m (189). The density of states at the Fermi level is 13.79 states/eV per cell. As for the volume: 11.200 A^3/atom.

(8)
This record from Alexandria describes crystalline AlAgOs2 at its relaxed geometry. The functional is GGA-PBE.

The structure in extended XYZ format:
```
4
Lattice="2.7363 -0.0109 0.0000 -1.2265 2.4460 0.0000 0.0000 0.0000 9.1180" Properties=species:S:1:pos:R:3 pbc="T T T"
Os 0.0000 0.0000 8.9049
Os 0.0000 0.0000 4.7722
Al 0.7549 1.2175 6.8385
Ag 0.7549 1.2175 2.2795
```

Summary:
The calculated formation energy comes out at 0.30 eV per atom. As for the space-group type: Cmmm (65). The density of states at the Fermi level is 3.09 states/eV per cell. As for the volume: 15.226 A^3/atom.

(9)
This record from Alexandria describes crystalline Li3ZnCl at its relaxed geometry. The functional is GGA-PBE.

The structure in extended XYZ format:
```
5
Lattice="4.6302 0.0000 0.0000 0.0000 4.6302 0.0000 0.0000 0.0000 4.6302" Properties=species:S:1:pos:R:3 pbc="T T T"
Zn 2.3151 2.3151 2.3151
Li 0.0000 2.3151 0.0000
Li 0.0000 0.0000 2.3151
Li 2.3151 0.0000 0.0000
Cl 0.0000 0.0000 0.0000
```

Summary:
As for the space-group type: Pm-3m (221). The density of states at the Fermi level is 2.24 states/eV per cell. The value obtained for the energy above the most stable polymorph in this dataset is 0 meV per atom. As for the volume: 19.853 A^3/atom.

(10)
This record from Alexandria describes crystalline NpAgTe3Pd at its relaxed geometry. The functional is GGA-PBE.

The structure in extended XYZ format:
```
12
Lattice="4.2919 0.0000 0.0000 0.0000 6.9946 0.2699 0.0000 -1.6723 10.4897" Properties=species:S:1:pos:R:3 pbc="T T T"
Np 1.0730 1.0573 3.4207
Np 3.2189 4.2650 7.3389
Ag 1.0730 4.4059 1.8131
Ag 3.2189 0.9164 8.9465
Te 3.2189 6.3395 2.0020
Te 1.0730 -1.0172 8.7577
Te 1.0730 4.0521 4.9879
Te 3.2189 1.2702 5.7717
Te 3.2189 2.5046 1.6139
Te 1.0730 2.8177 9.1458
Pd 1.0730 -0.4233 6.0817
Pd 3.2189 5.7456 4.6779
```

Summary:
For the electronic total energy, the calculation gives -5.425 eV/atom. As for the space-group type: P2_1/m (11). The density of states at the Fermi level is 22.40 states/eV per cell. As for the volume: 26.403 A^3/atom.

(11)
This record from Alexandria describes crystalline PmVNi3 at its relaxed geometry. The functional is GGA-PBE.

The structure in extended XYZ format:
```
10
Lattice="5.4123 0.0001 -0.0002 -0.0002 5.8540 0.0000 0.0003 -2.9273 5.0691" Properties=species:S:1:pos:R:3 pbc="T T T"
Pm 4.0589 2.9271 1.6900
Pm 1.3535 -0.0002 3.3790
V 0.0000 0.0000 0.0000
V 2.7062 0.0001 -0.0001
Ni 4.0596 1.2198 4.0838
Ni 1.3529 2.9268 3.0980
Ni 1.3528 1.7071 0.9852
Ni 4.0595 0.0001 1.9710
Ni 1.3528 4.1468 0.9851
Ni 4.0597 -1.2199 4.0839
```

Summary:
The calculated formation energy comes out at -0.09 eV per atom. As for the space-group type: P6_3/mmc (194). The density of states at the Fermi level is 10.53 states/eV per cell. As for the volume: 16.061 A^3/atom.

(12)
This record from Alexandria describes crystalline Mg3Sc4In at its relaxed geometry. The functional is GGA-PBE.

The structure in extended XYZ format:
```
8
Lattice="-3.1035 -1.7083 3.5984 -1.3767 -4.8581 0.0494 5.0203 -3.9861 5.9805" Properties=species:S:1:pos:R:3 pbc="T T T"
Sc -2.0400 -7.2397 5.4328
Sc 2.7117 -5.9500 6.6002
Sc 2.5801 -3.3128 4.1956
Sc -2.1716 -4.6025 3.0282
Mg 0.1795 -2.6504 2.4396
Mg 0.3606 -7.9021 7.1888
Mg 0.2700 -5.2763 4.8142
In 0.0000 0.0000 0.0000
```

Summary:
The calculated formation energy comes out at -0.17 eV per atom. As for the space-group type: R-3m (166). The density of states at the Fermi level is 8.99 states/eV per cell. As for the volume: 22.822 A^3/atom.

(13)
This record from Alexandria describes crystalline TbCeSnHg at its relaxed geometry. The functional is GGA-PBE.

The structure in extended XYZ format:
```
4
Lattice="5.3746 0.0000 0.0000 2.6873 4.6545 0.0000 2.6873 1.5515 4.3883" Properties=species:S:1:pos:R:3 pbc="T T T"
Tb 0.0000 0.0000 0.0000
Hg 2.6873 1.5515 1.0971
Ce 5.3746 3.1030 2.1942
Sn 8.0619 4.6545 3.2912
```

Summary:
The calculated formation energy comes out at -0.51 eV per atom. As for the space-group type: F-43m (216). The density of states at the Fermi level is 9.56 states/eV per cell. The value obtained for the energy above the most stable polymorph in this dataset is 0 meV per atom. As for the volume: 27.445 A^3/atom.

(14)
This record from Alexandria describes crystalline LaPa2AlC4 at its relaxed geometry. The functional is GGA-PBE.

The structure in extended XYZ format:
```
16
Lattice="3.6545 0.0000 0.0000 -1.8272 5.9868 0.0000 0.0000 0.0000 11.9548" Properties=species:S:1:pos:R:3 pbc="T T T"
La 0.0000 1.2592 8.9661
La 1.8272 4.7277 2.9887
Pa 0.0000 4.4169 6.5890
Pa 1.8272 1.5699 0.6116
Pa 1.8272 1.5699 5.3657
Pa 0.0000 4.4169 11.3431
Al 1.8272 4.0794 8.9661
Al 0.0000 1.9074 2.9887
C 0.0000 3.0561 1.3403
C 1.8272 2.9308 7.3177
C 1.8272 2.9308 10.6144
C 0.0000 3.0561 4.6370
C 0.0000 0.0000 5.9774
C 0.0000 0.0000 0.0000
C 0.0000 5.1575 8.9661
C 1.8272 0.8293 2.9887
```

Summary:
The calculated formation energy comes out at -0.28 eV per atom. As for the space-group type: Cmcm (63). The density of states at the Fermi level is 4.33 states/eV per cell. As for the volume: 16.347 A^3/atom.

(15)
This record from Alexandria describes crystalline Li3OsCl at its relaxed geometry. The functional is GGA-PBE.

The structure in extended XYZ format:
```
5
Lattice="4.9803 0.0000 0.0000 0.0000 4.9803 0.0000 0.0000 0.0000 4.9803" Properties=species:S:1:pos:R:3 pbc="T T T"
Li 0.0000 2.4901 0.0000
Li 0.0000 0.0000 2.4901
Li 2.4901 0.0000 0.0000
Os 0.0000 0.0000 0.0000
Cl 2.4901 2.4901 2.4901
```

Summary:
As for the space-group type: Pm-3m (221). The density of states at the Fermi level is 7.42 states/eV per cell. The value obtained for the energy above the most stable polymorph in this dataset is 301 meV per atom. As for the volume: 24.705 A^3/atom.

(16)
This record from Alexandria describes crystalline NpPaMnFe at its relaxed geometry. The functional is GGA-PBE.

The structure in extended XYZ format:
```
4
Lattice="-2.1599 -1.0516 -3.8669 -4.3283 -1.4057 0.1202 -3.3147 2.7009 -1.5627" Properties=species:S:1:pos:R:3 pbc="T T T"
Np 0.0000 0.0000 0.0000
Pa -7.3522 0.1827 -3.9821
Fe -2.4507 0.0609 -1.3274
Mn -4.9014 0.1218 -2.6547
```

Summary:
The calculated formation energy comes out at -0.02 eV per atom. As for the space-group type: F-43m (216). The density of states at the Fermi level is 5.38 states/eV per cell. As for the volume: 16.678 A^3/atom.

(17)
This record from Alexandria describes crystalline Mn2CoTcOs at its relaxed geometry. The functional is GGA-PBE.

The structure in extended XYZ format:
```
5
Lattice="4.3000 0.0000 0.0000 0.0000 4.2464 0.0000 0.0000 0.0000 4.3000" Properties=species:S:1:pos:R:3 pbc="T T T"
Co 0.0000 0.0000 0.0000
Mn 0.0000 0.0000 2.1500
Mn 2.1500 0.0000 0.0000
Os 2.1500 2.1232 2.1500
Tc 0.0000 2.1232 0.0000
```

Summary:
The calculated formation energy comes out at 1.29 eV per atom. As for the space-group type: P4/mmm (123). The density of states at the Fermi level is 5.73 states/eV per cell. As for the volume: 15.703 A^3/atom.

(18)
This record from Alexandria describes crystalline CeFeRe at its relaxed geometry. The functional is GGA-PBE.

The structure in extended XYZ format:
```
12
Lattice="5.9636 0.0000 0.0000 0.0000 5.9636 0.0000 0.0000 0.0000 6.9747" Properties=species:S:1:pos:R:3 pbc="T T T"
Fe 2.6399 2.6399 0.0000
Fe 3.3236 3.3236 3.4873
Fe 0.3418 5.6217 1.7437
Fe 5.6217 0.3418 5.2310
Re 3.9734 1.9901 5.2310
Re 4.9719 4.9719 3.4873
Re 0.9916 0.9916 0.0000
Re 1.9901 3.9734 1.7437
Ce 4.3147 1.6489 1.7437
Ce 4.6307 4.6307 0.0000
Ce 1.3329 1.3329 3.4873
Ce 1.6489 4.3147 5.2310
```

Summary:
The calculated formation energy comes out at 0.51 eV per atom. As for the space-group type: P4_12_12 (92). The density of states at the Fermi level is 10.57 states/eV per cell. The value obtained for the energy above the most stable polymorph in this dataset is 537 meV per atom. As for the volume: 20.671 A^3/atom.

(19)
This record from Alexandria describes crystalline PaAgSn at its relaxed geometry. The functional is GGA-PBE.

The structure in extended XYZ format:
```
3
Lattice="3.1818 0.0000 0.0000 -1.5909 2.7555 0.0000 0.0000 0.0000 7.9699" Properties=species:S:1:pos:R:3 pbc="T T T"
Pa 0.0000 0.0000 7.9227
Sn 1.5909 0.9185 2.7573
Ag 0.0000 1.8370 5.2598
```

Summary:
The calculated formation energy comes out at 0.03 eV per atom. As for the space-group type: P3m1 (156). The density of states at the Fermi level is 3.29 states/eV per cell. As for the volume: 23.292 A^3/atom.

(20)
This record from Alexandria describes crystalline Dy4YHo4 at its relaxed geometry. The functional is GGA-PBE.

The structure in extended XYZ format:
```
9
Lattice="-4.2202 2.0524 1.7074 -4.8279 -5.8129 2.3572 0.8461 1.3676 7.7504" Properties=species:S:1:pos:R:3 pbc="T T T"
Dy -4.1402 -0.1144 4.5100
Dy -4.0618 -2.2785 7.3050
Dy -2.9352 -3.4171 4.1555
Dy -5.2668 1.0242 7.6595
Y 0.0000 0.0000 0.0000
Ho -6.0291 -2.5002 2.7089
Ho -2.1729 0.1073 9.1060
Ho -7.0800 -3.5326 8.6554
Ho -1.1221 1.1396 3.1596
```

Summary:
The calculated formation energy comes out at 0.02 eV per atom. As for the space-group type: I4/mmm (139). The density of states at the Fermi level is 12.85 states/eV per cell. As for the volume: 31.306 A^3/atom.